Be2AsOs after structural relaxation, computed with PBE-GGA.

Lattice parameters (Å, degrees): 2.8380 4.6885 7.9450 90.00 90.00 90.00
Fractional positions:
Be1 0.0000 0.0000 0.0000
Be2 0.0000 0.5000 0.2143
Be3 0.5000 0.0000 0.2143
Be4 0.5000 0.5000 0.0000
As1 0.0000 0.5000 0.7220
As2 0.5000 0.0000 0.7220
Os1 0.0000 0.0000 0.4398
Os2 0.5000 0.5000 0.4398

Values from the calculation:
Formation energy from the elements, eV/atom: 0.5637
Total magnetic moment, μB/f.u.: 0.00
Mass density, g/cm³: 8.90
DFT total energy, eV/atom: -5.269